Entry from the Alexandria database: a geometry-optimized Tb16Sm7Tm6 structure (PBE-GGA).

**Uncorrected energy**: -126.5 eV per formula unit
**Size of the total moment**: 0.000 μB per atom

a = 11.1558 Å, b = 11.1558 Å, c = 11.1558 Å
α = 60.00°, β = 60.00°, γ = 60.00°
With the nearest neighbours (Å) after each atom.
Fractional coordinates of all 29 atoms:
Tb1 0.8743 0.8743 0.3771  4 Sm 3.41-3.43, 3 Tm 3.56, 3 Tb 3.58
Tb2 0.8743 0.8743 0.8743  4 Sm 3.41-3.43, 3 Tm 3.56, 3 Tb 3.58
Tb3 0.8743 0.3771 0.8743  4 Sm 3.41-3.43, 3 Tm 3.56, 3 Tb 3.58
Tb4 0.3771 0.8743 0.8743  4 Sm 3.41-3.43, 3 Tm 3.56, 3 Tb 3.58
Tb5 0.1257 0.1257 0.1257  4 Sm 3.41-3.43, 3 Tm 3.56, 3 Tb 3.58
Tb6 0.1257 0.1257 0.6229  4 Sm 3.41-3.43, 3 Tm 3.56, 3 Tb 3.58
Tb7 0.1257 0.6229 0.1257  4 Sm 3.41-3.43, 3 Tm 3.56, 3 Tb 3.58
Tb8 0.6229 0.1257 0.1257  4 Sm 3.41-3.43, 3 Tm 3.56, 3 Tb 3.58
Tb9 0.6503 0.6503 0.0490  3 Sm 3.25, 3 Tb 3.58, 3 Tm 3.61
Tb10 0.6503 0.6503 0.6503  3 Sm 3.25, 3 Tb 3.58, 3 Tm 3.61
Tb11 0.6503 0.0490 0.6503  3 Sm 3.25, 3 Tb 3.58, 3 Tm 3.61
Tb12 0.0490 0.6503 0.6503  3 Sm 3.25, 3 Tb 3.58, 3 Tm 3.61
Tb13 0.3497 0.3497 0.3497  3 Sm 3.25, 3 Tb 3.58, 3 Tm 3.61
Tb14 0.3497 0.3497 0.9510  3 Sm 3.25, 3 Tb 3.58, 3 Tm 3.61
Tb15 0.3497 0.9510 0.3497  3 Sm 3.25, 3 Tb 3.58, 3 Tm 3.61
Tb16 0.9510 0.3497 0.3497  3 Sm 3.25, 3 Tb 3.58, 3 Tm 3.61
Sm1 0.0000 0.0000 0.0000  8 Tb 3.43
Sm2 0.5000 0.0000 0.5000  8 Tb 3.25-3.41
Sm3 0.0000 0.5000 0.0000  8 Tb 3.25-3.41
Sm4 0.0000 0.5000 0.5000  8 Tb 3.25-3.41
Sm5 0.5000 0.0000 0.0000  8 Tb 3.25-3.41
Sm6 0.0000 0.0000 0.5000  8 Tb 3.25-3.41
Sm7 0.5000 0.5000 0.0000  8 Tb 3.25-3.41
Tm1 0.2647 0.7353 0.2647  8 Tb 3.56-3.61, 4 Sm 3.95
Tm2 0.7353 0.2647 0.7353  8 Tb 3.56-3.61, 4 Sm 3.95
Tm3 0.7353 0.2647 0.2647  8 Tb 3.56-3.61, 4 Sm 3.95
Tm4 0.2647 0.7353 0.7353  8 Tb 3.56-3.61, 4 Sm 3.95
Tm5 0.7353 0.7353 0.2647  8 Tb 3.56-3.61, 4 Sm 3.95
Tm6 0.2647 0.2647 0.7353  8 Tb 3.56-3.61, 4 Sm 3.95

***

Entry from the Alexandria database: a geometry-optimized Tb2SmTm2 structure (PBE-GGA).

**Uncorrected energy**: -22.5 eV per formula unit
**Size of the total moment**: 0.000 μB per atom

a = 9.2794 Å, b = 9.2794 Å, c = 3.7195 Å
α = 90.00°, β = 90.00°, γ = 90.00°
With the nearest neighbours (Å) after each atom.
Fractional coordinates of all 10 atoms:
Tb1 0.1269 0.6269 0.0000  6 Tm 3.25-3.35, 1 Tb 3.33
Tb2 0.6269 0.8731 0.0000  6 Tm 3.25-3.35, 1 Tb 3.33
Tb3 0.8731 0.3731 0.0000  6 Tm 3.25-3.35, 1 Tb 3.33
Tb4 0.3731 0.1269 0.0000  6 Tm 3.25-3.35, 1 Tb 3.33
Sm1 0.0000 0.0000 0.0000  4 Tb 3.66, 2 Sm 3.72, 8 Tm 3.91
Sm2 0.5000 0.5000 0.0000  4 Tb 3.66, 2 Sm 3.72, 8 Tm 3.91
Tm1 0.3297 0.8297 0.5000  6 Tb 3.25-3.35
Tm2 0.8297 0.6703 0.5000  6 Tb 3.25-3.35
Tm3 0.6703 0.1703 0.5000  6 Tb 3.25-3.35
Tm4 0.1703 0.3297 0.5000  6 Tb 3.25-3.35